{
  "formula": "NiAsP2",
  "functional": "PBE",
  "state": "optimized geometry",
  "formation_energy_ev_per_atom": 0.016,
  "magmom_total_mub_per_atom": 0.000,
  "cell": [[-2.167, 2.568, 0.970], [-2.374, 1.227, -2.256], [-5.229, -2.542, 1.392]],
  "species": ["Ni", "P", "P", "As"],
  "fractional_positions": [[0.250, 0.250, 0.250], [0.987, 0.987, 0.037], [0.513, 0.513, 0.463], [0.750, 0.750, 0.750]]
}